LiMg2Pd5 (PBE, relaxed); formation enthalpy at 0 K = -539 meV/atom; E above lowest polymorph = 7 meV/atom
1.0
-3.085 3.085 3.230
3.085 -3.085 3.230
3.085 3.085 -3.230
Li Mg Pd
1 2 5
Direct
0.000 0.000 0.000
0.499 0.999 0.500
0.999 0.499 0.500
0.499 0.499 0.000
0.499 0.499 0.500
0.499 0.999 0.000
0.999 0.499 0.000
0.999 0.999 0.500

BaCaBiH (PBE, relaxed); final energy = -14.11 eV per formula unit
1.0
5.049 0.000 0.000
0.000 5.049 0.000
0.000 0.000 9.673
Ba Ca Bi H
2 2 2 2
Direct
0.250 0.250 0.114
0.750 0.750 0.886
0.250 0.750 0.500
0.750 0.250 0.500
0.250 0.250 0.706
0.750 0.750 0.294
0.250 0.750 0.000
0.750 0.250 0.000

What is the formula in the second record? BaCaBiH